(1)
Compound: Li2HgAsPt
Source: Alexandria via LeMat-Bulk
Functional: PBE
Structure: optimized geometry

As for the energy of formation: -280 meV per atom. The space-group type is P4/mmm (123).

Cell lengths 5.107, 4.557, 5.107 Å; angles 90.00, 90.00, 90.00 degrees
Sites, in units of the cell vectors:
Li (0.500, 0.000, 0.000)
Pt (0.000, 0.000, 0.000)
As (0.000, 0.500, 0.000)
Li (0.000, 0.000, 0.500)
Hg (0.500, 0.500, 0.500)

=====

(2)
Compound: Nd2PaSe4
Source: Alexandria via LeMat-Bulk
Functional: PBE
Structure: optimized geometry

The space-group type is Cmcm (63). The calculation puts the total DFT energy (no corrections) at -6.30 eV/atom.

Cell lengths 4.046, 7.300, 13.898 Å; angles 90.00, 90.00, 106.09 degrees
Sites, in units of the cell vectors:
Pa (0.626, 0.253, 0.750)
Se (0.222, 0.444, 0.628)
Se (0.500, 0.000, 0.500)
Nd (0.135, 0.269, 0.070)
Nd (0.865, 0.731, 0.930)
Se (0.500, 0.000, 0.000)
Pa (0.374, 0.747, 0.250)
Nd (0.135, 0.269, 0.430)
Nd (0.865, 0.731, 0.570)
Se (0.023, 0.046, 0.250)
Se (0.222, 0.444, 0.872)
Se (0.977, 0.954, 0.750)
Se (0.778, 0.556, 0.372)
Se (0.778, 0.556, 0.128)

=====

(3)
Compound: LaTb2Y
Source: Alexandria via LeMat-Bulk
Functional: PBE
Structure: optimized geometry

As for the energy of formation: 132 meV per atom. Its polymorph energy (0 for the lowest one) is 0.125 eV/atom. The space-group type is Fm-3m (225).

Cell lengths 5.760, 5.760, 5.760 Å; angles 60.00, 60.00, 60.00 degrees
Sites, in units of the cell vectors:
Tb (0.750, 0.750, 0.750)
Tb (0.250, 0.250, 0.250)
La (0.000, 0.000, 0.000)
Y (0.500, 0.500, 0.500)

=====

(4)
Compound: Nd3Sm6Mg
Source: Alexandria via LeMat-Bulk
Functional: PBE
Structure: optimized geometry

As for the energy of formation: 18 meV per atom. Its polymorph energy (0 for the lowest one) is 0.000 eV/atom. The space-group type is P2_1/m (11).

Cell lengths 5.142, 11.322, 11.439 Å; angles 90.80, 90.00, 90.00 degrees
Sites, in units of the cell vectors:
Sm (0.750, 0.144, 0.690)
Sm (0.750, 0.759, 0.504)
Nd (0.750, 0.449, 0.598)
Sm (0.750, 0.344, 0.299)
Nd (0.250, 0.348, 0.794)
Sm (0.250, 0.448, 0.102)
Mg (0.750, 0.049, 0.400)
Sm (0.250, 0.241, 0.496)
Nd (0.250, 0.753, 0.006)
Sm (0.250, 0.856, 0.310)
Nd (0.750, 0.247, 0.994)
Sm (0.750, 0.850, 0.807)
Sm (0.750, 0.953, 0.105)
Mg (0.250, 0.951, 0.600)
Nd (0.750, 0.652, 0.206)
Nd (0.250, 0.551, 0.402)
Sm (0.250, 0.150, 0.193)
Sm (0.250, 0.656, 0.701)
Sm (0.250, 0.047, 0.895)
Sm (0.750, 0.552, 0.898)

=====

Number 1: DOS at the Fermi energy 2.162 states/eV/f.u.. Number 2: DOS at the Fermi energy 6.851 states/eV/f.u.. Number 3: DOS at the Fermi energy 8.851 states/eV/f.u.. Number 4: DOS at the Fermi energy 14.810 states/eV/f.u..